(1)
Compound: LaOs2Se
Source: the Alexandria database
Functional: PBE
Structure: optimized geometry

Cell: 3.0883 4.3832 5.8293 Å, 90.00 90.00 90.00°
Closest atoms and distances in Å follow each position.
Atoms (fractional coordinates):
Os 0.0000 0.0000 0.4551  1 Os 2.39
Os 0.0000 0.0000 0.0449  1 Os 2.39
Se 0.5000 0.5000 0.2500  2 La 2.91, 8 Os 2.94, 2 Se 3.09
La 0.5000 0.5000 0.7500  2 Se 2.91, 2 La 3.09, 8 Os 3.18

The uncorrected formation energy comes out at 0.6354 eV/atom. The calculation puts the calculated total energy at -28.3 eV/cell. The total magnetization comes out at 0.00 μB per cell.

---

(2)
Compound: LaOs4Se
Source: the Alexandria database
Functional: PBE
Structure: optimized geometry

Cell: 5.3736 5.3736 5.3736 Å, 60.00 60.00 60.00°
Closest atoms and distances in Å follow each position.
Atoms (fractional coordinates):
Os 0.8729 0.3757 0.3757  6 Os 2.67-2.70
Os 0.3757 0.3757 0.8729  6 Os 2.67-2.70
Se 0.7500 0.7500 0.7500  12 Os 3.15, 4 La 3.29
Os 0.3757 0.3757 0.3757  6 Os 2.67-2.70
Os 0.3757 0.8729 0.3757  6 Os 2.67-2.70
La 0.0000 0.0000 0.0000  12 Os 3.15, 4 Se 3.29

The uncorrected formation energy comes out at 0.5656 eV/atom. The calculation puts the calculated total energy at -49.9 eV/cell. The total magnetization comes out at 0.00 μB per cell.